[1]
W3Se2 GGA-PBE optimized geometry; excess energy over the best structure of this formula in the dataset = 0.162 eV per atom; calculated total energy = -8.616 eV per atom
1.0
7.769 2.443 1.766
2.980 3.664 5.097
4.476 -3.667 1.430
W Se
6 4
direct
0.728 0.981 0.800
0.492 0.800 0.981
0.226 0.274 0.274
0.269 0.522 0.758
0.450 0.758 0.522
0.976 0.024 0.024
0.431 0.470 0.226
0.780 0.819 0.377
0.024 0.377 0.819
0.873 0.226 0.470


[2]
YW4Se8 GGA-PBE optimized geometry; calculated total energy = -6.945 eV per atom
1.0
6.006 0.000 -3.240
-3.877 5.616 0.000
0.578 0.400 8.258
Se W Y
8 4 1
direct
0.486 0.743 0.229
0.480 0.240 0.231
0.991 0.240 0.231
0.991 0.751 0.231
0.009 0.249 0.769
0.514 0.257 0.771
0.009 0.760 0.769
0.520 0.760 0.769
0.500 0.000 0.000
0.000 0.500 0.000
0.500 0.500 0.000
0.000 0.000 0.000
0.000 0.500 0.500


[3]
YW3Se GGA-PBE optimized geometry; excess energy over the best structure of this formula in the dataset = 0.000 eV per atom; calculated total energy = -8.661 eV per atom
1.0
-0.852 4.034 -2.239
1.233 -1.995 -4.063
-4.446 -1.326 -0.697
W Y Se
3 1 1
direct
0.000 0.500 0.000
0.500 0.000 0.000
0.000 0.000 0.500
0.500 0.500 0.500
0.000 0.000 0.000


[4]
YWSe4 GGA-PBE optimized geometry; calculated total energy = -4.793 eV per atom
1.0
0.000 4.045 4.045
4.045 0.000 4.045
4.045 4.045 0.000
W Y Se
1 1 4
direct
0.750 0.750 0.750
0.000 0.000 0.000
0.376 0.376 0.376
0.376 0.873 0.376
0.376 0.376 0.873
0.873 0.376 0.376


[5]
YWSe3 GGA-PBE optimized geometry; excess energy over the best structure of this formula in the dataset = 0.000 eV per atom; calculated total energy = -6.193 eV per atom
1.0
4.949 0.000 0.000
0.000 4.949 0.000
0.000 0.000 4.949
W Se Y
1 3 1
direct
0.000 0.000 0.000
0.500 0.000 0.000
0.000 0.000 0.500
0.000 0.500 0.000
0.500 0.500 0.500


[6]
YW3Se GGA-PBE optimized geometry; excess energy over the best structure of this formula in the dataset = 2.069 eV per atom; calculated total energy = -6.592 eV per atom
1.0
4.886 0.000 0.000
0.000 4.886 0.000
0.000 0.000 4.886
Se W Y
1 3 1
direct
0.500 0.500 0.500
0.500 0.000 0.000
0.000 0.000 0.500
0.000 0.500 0.000
0.000 0.000 0.000


[7]
YWSe3 GGA-PBE optimized geometry; excess energy over the best structure of this formula in the dataset = 0.923 eV per atom; calculated total energy = -5.270 eV per atom
1.0
-4.215 2.190 2.505
-0.744 -4.561 2.735
3.243 1.800 3.884
Se Y W
3 1 1
direct
0.500 0.000 0.000
0.000 0.500 0.000
0.000 0.000 0.500
0.000 0.000 0.000
0.500 0.500 0.500


[8]
ZnWSe GGA-PBE optimized geometry; excess energy over the best structure of this formula in the dataset = 0.128 eV per atom; calculated total energy = -5.702 eV per atom
1.0
-2.286 2.638 -5.424
0.908 -0.077 -6.386
-0.731 -2.886 5.723
W Zn Se
1 1 1
direct
0.340 0.340 0.000
0.698 0.698 0.000
0.962 0.962 0.000


Which formula does entry 5 have?
YWSe3


Which of these has the lowest calculated total energy?
number 3